This record from Alexandria describes a relaxed structure of LiZnAg2. The functional is PBEsol.

Unit cell a=2.8986 b=4.5853 c=4.9029 alpha=102.44 beta=107.19 gamma=90.00
Last column: nearest neighbours and their distance in Å.
Element x y z (fractional)
Zn1 0.7479 0.2265 0.4958  7 Ag 2.69-2.75, 3 Li 2.83-2.95, 2 Zn 2.90
Ag1 0.0039 0.0289 0.0079  3 Zn 2.69-2.75, 4 Li 2.69-2.74, 5 Ag 2.87-2.95
Ag2 0.2495 0.7241 0.4991  4 Zn 2.70-2.72, 3 Li 2.70-2.74, 5 Ag 2.87-2.95
Li1 0.4986 0.5205 0.9972  7 Ag 2.69-2.74, 3 Zn 2.83-2.95, 2 Li 2.90

Computed properties:
- space-group type = Cm
- formation energy (eV/atom) = -0.154

***

This record from Alexandria describes a relaxed structure of Li2ZnAg. The functional is PBEsol.

Unit cell a=3.1736 b=3.1736 c=6.1078 alpha=90.00 beta=90.00 gamma=90.00
Last column: nearest neighbours and their distance in Å.
Element x y z (fractional)
Zn1 0.0000 0.0000 0.5022  5 Li 2.67-2.96, 4 Ag 2.69
Ag1 0.5000 0.5000 0.7443  4 Zn 2.69, 5 Li 2.69-2.92
Li1 0.0000 0.0000 0.9876  4 Ag 2.69, 4 Li 2.81, 1 Zn 2.96
Li2 0.5000 0.5000 0.2659  4 Zn 2.67, 4 Li 2.81, 1 Ag 2.92

Computed properties:
- space-group type = P4mm
- formation energy (eV/atom) = -0.127

***

This record from Alexandria describes a relaxed structure of LiZnAg2. The functional is PBEsol.

Unit cell a=2.8433 b=2.8433 c=7.6380 alpha=90.00 beta=90.00 gamma=90.00
Last column: nearest neighbours and their distance in Å.
Element x y z (fractional)
Zn1 0.5000 0.5000 0.7445  4 Li 2.72, 4 Ag 2.75, 4 Zn 2.84
Ag1 0.0000 0.0000 0.9899  4 Zn 2.75, 8 Ag 2.84-2.88
Ag2 0.5000 0.5000 0.2602  4 Li 2.75, 8 Ag 2.84-2.88
Li1 0.0000 0.0000 0.5054  4 Zn 2.72, 4 Ag 2.75, 4 Li 2.84

Computed properties:
- space-group type = P4mm
- formation energy (eV/atom) = -0.095

***

This record from Alexandria describes a relaxed structure of Li2ZnAg. The functional is PBEsol.

Unit cell a=2.8761 b=4.6298 c=4.6298 alpha=106.80 beta=90.00 gamma=90.00
Last column: nearest neighbours and their distance in Å.
Element x y z (fractional)
Zn1 0.5000 0.0000 0.0000  8 Li 2.73, 2 Ag 2.76, 2 Zn 2.88
Ag1 0.5000 0.5000 0.5000  8 Li 2.73, 2 Zn 2.76, 2 Ag 2.88
Li1 0.0000 0.5000 0.0000  4 Zn 2.73, 4 Ag 2.73, 4 Li 2.76-2.88
Li2 0.0000 0.0000 0.5000  4 Ag 2.73, 4 Zn 2.73, 4 Li 2.76-2.88

Computed properties:
- space-group type = Cmmm
- formation energy (eV/atom) = -0.160

***

This record from Alexandria describes a relaxed structure of LiZn2Ag2. The functional is PBEsol.

Unit cell a=2.8567 b=7.5521 c=7.5521 alpha=90.00 beta=90.00 gamma=90.00
Last column: nearest neighbours and their distance in Å.
Element x y z (fractional)
Zn1 0.5000 0.1595 0.6595  6 Ag 2.58-2.67, 2 Zn 2.86
Zn2 0.5000 0.6595 0.8405  6 Ag 2.58-2.67, 2 Zn 2.86
Zn3 0.5000 0.8405 0.3405  6 Ag 2.58-2.67, 2 Zn 2.86
Zn4 0.5000 0.3405 0.1595  6 Ag 2.58-2.67, 2 Zn 2.86
Ag1 0.0000 0.3609 0.8609  6 Zn 2.58-2.67, 2 Ag 2.86
Ag2 0.0000 0.8609 0.6391  6 Zn 2.58-2.67, 2 Ag 2.86
Ag3 0.0000 0.6391 0.1391  6 Zn 2.58-2.67, 2 Ag 2.86
Ag4 0.0000 0.1391 0.3609  6 Zn 2.58-2.67, 2 Ag 2.86
Li1 0.0000 0.0000 0.0000  2 Li 2.86, 4 Ag 2.92, 8 Zn 3.18
Li2 0.0000 0.5000 0.5000  2 Li 2.86, 4 Ag 2.92, 8 Zn 3.18

Computed properties:
- space-group type = P4/mbm
- formation energy (eV/atom) = -0.104

***

This record from Alexandria describes a relaxed structure of Li2ZnAg. The functional is PBEsol.

Unit cell a=3.7212 b=3.9685 c=3.9685 alpha=90.00 beta=90.00 gamma=90.00
Last column: nearest neighbours and their distance in Å.
Element x y z (fractional)
Zn1 0.5000 0.5000 0.5000  8 Li 2.72, 4 Ag 2.81
Ag1 0.5000 0.0000 0.0000  8 Li 2.72, 4 Zn 2.81
Li1 0.0000 0.0000 0.5000  4 Zn 2.72, 4 Ag 2.72, 4 Li 2.81
Li2 0.0000 0.5000 0.0000  4 Zn 2.72, 4 Ag 2.72, 4 Li 2.81

Computed properties:
- space-group type = P4/mmm
- formation energy (eV/atom) = -0.168

***

This record from Alexandria describes a relaxed structure of Li2Zn2Ag. The functional is PBEsol.

Unit cell a=2.9517 b=7.0040 c=7.0040 alpha=90.00 beta=90.00 gamma=90.00
Last column: nearest neighbours and their distance in Å.
Element x y z (fractional)
Zn1 0.0000 0.3718 0.8718  6 Li 2.49-2.57, 1 Zn 2.54, 2 Ag 2.75
Zn2 0.0000 0.8718 0.6282  6 Li 2.49-2.57, 1 Zn 2.54, 2 Ag 2.75
Zn3 0.0000 0.6282 0.1282  6 Li 2.49-2.57, 1 Zn 2.54, 2 Ag 2.75
Zn4 0.0000 0.1282 0.3718  6 Li 2.49-2.57, 1 Zn 2.54, 2 Ag 2.75
Ag1 0.0000 0.0000 0.0000  4 Zn 2.75, 2 Ag 2.95, 8 Li 2.99
Ag2 0.0000 0.5000 0.5000  4 Zn 2.75, 2 Ag 2.95, 8 Li 2.99
Li1 0.5000 0.1699 0.6699  6 Zn 2.49-2.57
Li2 0.5000 0.6699 0.8301  6 Zn 2.49-2.57
Li3 0.5000 0.8301 0.3301  6 Zn 2.49-2.57
Li4 0.5000 0.3301 0.1699  6 Zn 2.49-2.57

Computed properties:
- space-group type = P4/mbm
- formation energy (eV/atom) = -0.106

***

This record from Alexandria describes a relaxed structure of LiZnAg2. The functional is PBEsol.

Unit cell a=3.8757 b=3.8771 c=4.8694 alpha=113.46 beta=113.45 gamma=90.00
Last column: nearest neighbours and their distance in Å.
Element x y z (fractional)
Zn1 0.2499 0.7499 0.4998  8 Ag 2.74-2.79, 4 Li 2.79-2.80
Ag1 0.0000 0.0000 0.0000  4 Li 2.74, 4 Ag 2.79, 4 Zn 2.79
Ag2 0.7500 0.2500 0.5000  4 Zn 2.74, 4 Li 2.79, 4 Ag 2.79
Li1 0.5001 0.5001 0.0002  8 Ag 2.74-2.79, 4 Zn 2.79-2.80

Computed properties:
- space-group type = I-4m2
- formation energy (eV/atom) = -0.174

***

This record from Alexandria describes a relaxed structure of LiZnAg2. The functional is PBEsol.

Unit cell a=2.8292 b=4.6815 c=4.9594 alpha=99.27 beta=90.00 gamma=107.59
Last column: nearest neighbours and their distance in Å.
Element x y z (fractional)
Zn1 0.5000 0.0000 0.0000  6 Ag 2.72-2.77, 2 Zn 2.83, 4 Li 2.85
Ag1 0.7554 0.5109 0.7509  3 Li 2.69-2.79, 3 Zn 2.72-2.77, 6 Ag 2.83-2.86
Ag2 0.2446 0.4891 0.2491  3 Li 2.69-2.79, 3 Zn 2.72-2.77, 6 Ag 2.83-2.86
Li1 0.0000 0.0000 0.5000  6 Ag 2.69-2.79, 2 Li 2.83, 4 Zn 2.85

Computed properties:
- space-group type = C2/m
- formation energy (eV/atom) = -0.136

***

This record from Alexandria describes a relaxed structure of LiZnAg2. The functional is PBEsol.

Unit cell a=2.8340 b=3.7813 c=5.6556 alpha=90.00 beta=90.07 gamma=90.00
Last column: nearest neighbours and their distance in Å.
Element x y z (fractional)
Zn1 0.5000 0.5000 0.5000  8 Ag 2.75, 2 Li 2.83, 2 Zn 2.83
Ag1 0.0007 0.0000 0.7500  4 Li 2.75-2.76, 4 Zn 2.75, 4 Ag 2.83
Ag2 0.9993 0.0000 0.2500  4 Li 2.75-2.76, 4 Zn 2.75, 4 Ag 2.83
Li1 0.5000 0.5000 0.0000  8 Ag 2.75-2.76, 2 Zn 2.83, 2 Li 2.83

Computed properties:
- space-group type = Pmmm
- formation energy (eV/atom) = -0.151

***

This record from Alexandria describes a relaxed structure of LiZnAg2. The functional is PBEsol.

Unit cell a=3.1264 b=4.3660 c=4.3660 alpha=90.04 beta=90.00 gamma=90.00
Last column: nearest neighbours and their distance in Å.
Element x y z (fractional)
Zn1 0.5000 0.0000 0.0000  8 Ag 2.68
Ag1 0.0000 0.0000 0.5000  4 Zn 2.68, 4 Li 2.68
Ag2 0.0000 0.5000 0.0000  4 Li 2.68, 4 Zn 2.68
Li1 0.5000 0.5000 0.5000  8 Ag 2.68

Computed properties:
- space-group type = P4/mmm
- formation energy (eV/atom) = -0.174

***

This record from Alexandria describes a relaxed structure of LiZn4Ag. The functional is PBEsol.

Unit cell a=4.9832 b=4.9832 c=4.9832 alpha=60.00 beta=60.00 gamma=60.00
Last column: nearest neighbours and their distance in Å.
Element x y z (fractional)
Zn1 0.6249 0.6249 0.1254  6 Zn 2.49
Zn2 0.1254 0.6249 0.6249  6 Zn 2.49
Zn3 0.6249 0.1254 0.6249  6 Zn 2.49
Zn4 0.6249 0.6249 0.6249  6 Zn 2.49
Ag1 0.2500 0.2500 0.2500  12 Zn 2.92, 4 Li 3.05
Li1 0.0000 0.0000 0.0000  12 Zn 2.92, 4 Ag 3.05

Computed properties:
- space-group type = F-43m
- formation energy (eV/atom) = -0.150